(1)
VASP calculation (PBE) on a relaxed GdTm2Cl crystal.

Formation energy (no corrections) in eV per atom: -0.351
Size of the total moment in μB per atom: 2.108
Electronic total energy in eV/f.u.: -26.27

```
GdTm2Cl
1.0
1.709 0.987 11.035
-1.709 0.987 11.035
0.000 -1.973 11.035
Gd Tm Cl
1 2 1
direct
0.000 0.000 0.000 Gd
0.100 0.100 0.100 Tm
0.900 0.900 0.900 Tm
0.500 0.500 0.500 Cl
```

=====

(2)
VASP calculation (PBE) on a relaxed Tb4AlSe2S crystal.

Formation energy (no corrections) in eV per atom: -1.447
Size of the total moment in μB per atom: 0.000
Electronic total energy in eV/f.u.: -44.93

```
Tb4AlSe2S
1.0
7.160 0.000 0.000
0.000 3.994 0.000
-2.293 0.000 6.845
Tb Al Se S
4 1 2 1
direct
0.242 0.000 0.236 Tb
0.246 0.500 0.752 Tb
0.754 0.500 0.248 Tb
0.758 0.000 0.764 Tb
0.500 0.000 0.000 Al
0.000 0.000 0.500 Se
0.500 0.500 0.500 Se
0.000 0.500 0.000 S
```

=====

(3)
VASP calculation (PBE) on a relaxed Ca2CuRu crystal.

Size of the total moment in μB per atom: 0.000
Electronic total energy in eV/f.u.: -16.71
Energy of formation from the pure elements in meV/atom: 167

```
Ca2CuRu
1.0
-1.770 2.374 5.114
1.770 -2.374 5.114
1.770 2.374 -5.114
Ca Cu Ru
2 1 1
direct
0.000 0.000 0.000 Ca
0.715 0.215 0.500 Ca
0.271 0.771 0.500 Cu
0.446 0.446 0.000 Ru
```

=====

(4)
VASP calculation (PBE) on a relaxed Ca2Ge3RuPt4 crystal.

Size of the total moment in μB per atom: 0.000
Electronic total energy in eV/f.u.: -57.57
Energy of formation from the pure elements in meV/atom: -627

```
Ca2Ge3RuPt4
1.0
4.240 0.000 0.000
0.000 4.240 0.000
0.000 0.000 10.565
Ca Ge Ru Pt
2 3 1 4
direct
0.000 0.500 0.250 Ca
0.500 0.000 0.750 Ca
0.000 0.000 0.000 Ge
0.000 0.500 0.634 Ge
0.500 0.000 0.366 Ge
0.500 0.500 0.000 Ru
0.000 0.000 0.500 Pt
0.000 0.500 0.864 Pt
0.500 0.000 0.136 Pt
0.500 0.500 0.500 Pt
```

=====

(5)
VASP calculation (PBE) on a relaxed DyTm3H crystal.

Size of the total moment in μB per atom: 0.000
Electronic total energy in eV/f.u.: -22.14

```
DyTm3H
1.0
4.920 0.000 0.000
0.000 4.920 0.000
0.000 0.000 4.920
Dy Tm H
1 3 1
direct
0.000 0.000 0.000 Dy
0.000 0.500 0.500 Tm
0.500 0.000 0.500 Tm
0.500 0.500 0.000 Tm
0.500 0.500 0.500 H
```

=====

(6)
VASP calculation (PBE) on a relaxed YZrGa2N crystal.

Formation energy (no corrections) in eV per atom: 0.751
Size of the total moment in μB per atom: 0.079
Electronic total energy in eV/f.u.: -25.64

```
YZrGa2N
1.0
5.369 0.000 0.000
0.000 5.369 0.000
0.000 0.000 4.138
Y Zr Ga N
1 1 2 1
direct
0.000 0.000 0.000 Y
0.500 0.500 0.500 Zr
0.000 0.500 0.000 Ga
0.500 0.000 0.000 Ga
0.000 0.000 0.500 N
```

=====

(7)
VASP calculation (PBE) on a relaxed Sm2SiBRh6 crystal.

Formation energy (no corrections) in eV per atom: -0.734
Size of the total moment in μB per atom: 0.000
Electronic total energy in eV/f.u.: -72.99

```
Sm2SiBRh6
1.0
6.171 0.000 0.000
0.000 8.728 0.000
0.000 0.000 6.167
Sm Si B Rh
4 2 2 12
direct
0.250 0.000 0.250 Sm
0.250 0.500 0.250 Sm
0.750 0.000 0.750 Sm
0.750 0.500 0.750 Sm
0.250 0.250 0.749 Si
0.750 0.750 0.251 Si
0.250 0.750 0.751 B
0.750 0.250 0.249 B
0.012 0.750 0.512 Rh
0.012 0.750 0.989 Rh
0.250 0.512 0.750 Rh
0.250 0.988 0.750 Rh
0.488 0.750 0.512 Rh
0.488 0.750 0.989 Rh
0.512 0.250 0.011 Rh
0.512 0.250 0.488 Rh
0.750 0.012 0.250 Rh
0.750 0.488 0.250 Rh
0.988 0.250 0.011 Rh
0.988 0.250 0.488 Rh
```

=====

(8)
VASP calculation (PBE) on a relaxed Li2BPd4Au2 crystal.

Size of the total moment in μB per atom: 0.000
Electronic total energy in eV/f.u.: -40.72
Energy of formation from the pure elements in meV/atom: -321

```
Li2BPd4Au2
1.0
-2.827 2.827 4.170
2.827 -2.827 4.170
2.827 2.827 -4.170
Li B Pd Au
2 1 4 2
direct
0.227 0.227 0.000 Li
0.773 0.773 0.000 Li
0.500 0.500 0.000 B
0.248 0.248 0.496 Pd
0.248 0.752 0.000 Pd
0.752 0.248 0.000 Pd
0.752 0.752 0.504 Pd
0.250 0.750 0.500 Au
0.750 0.250 0.500 Au
```

=====

(9)
VASP calculation (PBE) on a relaxed HfZnNi6 crystal.

Size of the total moment in μB per atom: 0.145
Electronic total energy in eV/f.u.: -48.37
Energy of formation from the pure elements in meV/atom: -307

```
HfZnNi6
1.0
3.636 -5.190 0.000
3.636 5.190 0.000
0.000 0.000 10.363
Hf Zn Ni
4 4 24
direct
0.000 0.000 0.247 Hf
0.000 0.000 0.753 Hf
0.244 0.756 0.500 Hf
0.756 0.244 0.500 Hf
0.242 0.758 0.000 Zn
0.500 0.500 0.246 Zn
0.500 0.500 0.754 Zn
0.758 0.242 0.000 Zn
0.000 0.000 0.000 Ni
0.000 0.000 0.500 Ni
0.130 0.385 0.121 Ni
0.130 0.385 0.879 Ni
0.134 0.381 0.371 Ni
0.134 0.381 0.629 Ni
0.251 0.749 0.244 Ni
0.251 0.749 0.756 Ni
0.381 0.134 0.371 Ni
0.381 0.134 0.629 Ni
0.385 0.130 0.121 Ni
0.385 0.130 0.879 Ni
0.500 0.500 0.000 Ni
0.500 0.500 0.500 Ni
0.615 0.870 0.121 Ni
0.615 0.870 0.879 Ni
0.619 0.866 0.371 Ni
0.619 0.866 0.629 Ni
0.749 0.251 0.244 Ni
0.749 0.251 0.756 Ni
0.866 0.619 0.371 Ni
0.866 0.619 0.629 Ni
0.870 0.615 0.121 Ni
0.870 0.615 0.879 Ni
```

=====

(10)
VASP calculation (PBE) on a relaxed Co2PtW2 crystal.

Size of the total moment in μB per atom: 0.000
Electronic total energy in eV/f.u.: -46.24
Energy of formation from the pure elements in meV/atom: -17

```
Co2PtW2
1.0
7.038 0.000 0.000
0.000 7.038 0.000
0.000 0.000 2.768
Co Pt W
4 2 4
direct
0.124 0.376 0.000 Co
0.376 0.876 0.000 Co
0.624 0.124 0.000 Co
0.876 0.624 0.000 Co
0.000 0.000 0.000 Pt
0.500 0.500 0.000 Pt
0.171 0.671 0.500 W
0.329 0.171 0.500 W
0.671 0.829 0.500 W
0.829 0.329 0.500 W
```

=====

(11)
VASP calculation (PBE) on a relaxed LiBe2Cd crystal.

Size of the total moment in μB per atom: 0.000
Electronic total energy in eV/f.u.: -9.25
Energy of formation from the pure elements in meV/atom: 259

```
LiBe2Cd
1.0
2.748 0.000 0.000
0.000 3.907 0.000
-1.367 0.000 4.940
Li Be Cd
1 2 1
direct
0.000 0.000 0.000 Li
0.606 0.500 0.215 Be
0.719 0.000 0.428 Be
0.339 0.500 0.676 Cd
```

=====

(12)
VASP calculation (PBE) on a relaxed SmGd2Pt crystal.

E above lowest polymorph in eV/atom: 0.000
Size of the total moment in μB per atom: 3.676
Electronic total energy in eV/f.u.: -41.17
Energy of formation from the pure elements in meV/atom: -563

```
SmGd2Pt
1.0
3.607 0.000 0.000
0.000 3.607 0.000
0.000 0.000 8.555
Sm Gd Pt
1 2 1
direct
0.000 0.000 0.000 Sm
0.500 0.500 0.306 Gd
0.500 0.500 0.694 Gd
0.000 0.000 0.500 Pt
```

=====

(13)
VASP calculation (PBE) on a relaxed Sr2Li3TaN4 crystal.

Formation energy (no corrections) in eV per atom: -0.921
Size of the total moment in μB per atom: 0.000
Electronic total energy in eV/f.u.: -63.47

```
Sr2Li3TaN4
1.0
8.743 0.000 0.000
0.000 9.037 0.000
0.000 0.000 7.041
Sr Li Ta N
8 12 4 16
direct
0.000 0.000 0.240 Sr
0.000 0.000 0.760 Sr
0.241 0.247 0.500 Sr
0.259 0.747 0.000 Sr
0.500 0.500 0.260 Sr
0.500 0.500 0.740 Sr
0.741 0.253 0.000 Sr
0.759 0.753 0.500 Sr
0.020 0.634 0.261 Li
0.020 0.634 0.739 Li
0.205 0.578 0.500 Li
0.295 0.078 0.000 Li
0.480 0.134 0.239 Li
0.480 0.134 0.761 Li
0.520 0.866 0.239 Li
0.520 0.866 0.761 Li
0.705 0.922 0.000 Li
0.795 0.422 0.500 Li
0.980 0.366 0.261 Li
0.980 0.366 0.739 Li
0.214 0.363 0.000 Ta
0.286 0.863 0.500 Ta
0.714 0.137 0.500 Ta
0.786 0.637 0.000 Ta
0.047 0.217 0.000 N
0.074 0.779 0.500 N
0.198 0.481 0.234 N
0.198 0.481 0.766 N
0.302 0.981 0.266 N
0.302 0.981 0.734 N
0.426 0.279 0.000 N
0.453 0.717 0.500 N
0.547 0.283 0.500 N
0.574 0.721 0.000 N
0.698 0.019 0.266 N
0.698 0.019 0.734 N
0.802 0.519 0.234 N
0.802 0.519 0.766 N
0.926 0.221 0.500 N
0.953 0.783 0.000 N
```

=====

(14)
VASP calculation (PBE) on a relaxed Ag2As2Se3 crystal.

Formation energy (no corrections) in eV per atom: 0.013
Size of the total moment in μB per atom: 0.000
Electronic total energy in eV/f.u.: -25.37

```
Ag2As2Se3
1.0
3.822 0.000 0.000
0.100 6.430 0.000
1.848 1.736 6.360
Ag As Se
2 2 3
direct
0.196 0.085 0.133 Ag
0.804 0.915 0.867 Ag
0.358 0.651 0.250 As
0.642 0.349 0.750 As
0.000 0.500 0.000 Se
0.234 0.232 0.533 Se
0.766 0.768 0.467 Se
```

=====

(15)
VASP calculation (PBE) on a relaxed NaPrCu crystal.

Size of the total moment in μB per atom: 0.000
Electronic total energy in eV/f.u.: -9.85
Energy of formation from the pure elements in meV/atom: 115

```
NaPrCu
1.0
2.989 -2.917 0.000
2.989 2.917 0.000
-2.959 0.000 9.193
Na Pr Cu
2 2 2
direct
0.245 0.245 0.000 Na
0.755 0.755 0.000 Na
0.313 0.313 0.626 Pr
0.687 0.687 0.374 Pr
0.142 0.142 0.286 Cu
0.858 0.858 0.714 Cu
```

=====

(16)
VASP calculation (PBE) on a relaxed ScTiCu crystal.

E above lowest polymorph in eV/atom: 0.244
Size of the total moment in μB per atom: 0.000
Electronic total energy in eV/f.u.: -17.84
Energy of formation from the pure elements in meV/atom: 161

```
ScTiCu
1.0
4.101 0.000 0.000
0.000 4.101 0.000
0.000 0.000 6.487
Sc Ti Cu
2 2 2
direct
0.250 0.750 0.000 Sc
0.750 0.250 0.000 Sc
0.250 0.250 0.371 Ti
0.750 0.750 0.629 Ti
0.250 0.250 0.732 Cu
0.750 0.750 0.268 Cu
```

=====

(17)
VASP calculation (PBE) on a relaxed DyErCoI crystal.

Formation energy (no corrections) in eV per atom: -0.565
Size of the total moment in μB per atom: 0.000
Electronic total energy in eV/f.u.: -20.08

```
DyErCoI
1.0
1.969 1.137 7.834
-1.969 1.137 7.834
0.000 -2.274 7.834
Dy Er Co I
1 1 1 1
direct
0.000 0.000 0.000 Dy
0.215 0.215 0.215 Er
0.607 0.607 0.607 Co
0.776 0.776 0.776 I
```

=====

(18)
VASP calculation (PBE) on a relaxed NbCd3Sb crystal.

E above lowest polymorph in eV/atom: 0.000
Formation energy (no corrections) in eV per atom: 1.047
Size of the total moment in μB per atom: 0.000
Electronic total energy in eV/f.u.: -11.70

```
NbCd3Sb
1.0
5.376 0.000 0.000
0.000 5.376 0.000
0.000 0.000 5.376
Nb Cd Sb
1 3 1
direct
0.000 0.000 0.000 Nb
0.000 0.000 0.500 Cd
0.000 0.500 0.000 Cd
0.500 0.000 0.000 Cd
0.500 0.500 0.500 Sb
```

=====

(19)
VASP calculation (PBE) on a relaxed Zn2CdTe crystal.

E above lowest polymorph in eV/atom: 0.094
Formation energy (no corrections) in eV per atom: 0.107
Size of the total moment in μB per atom: 0.000
Electronic total energy in eV/f.u.: -6.18

```
Zn2CdTe
1.0
4.015 0.000 0.000
0.000 4.024 0.000
0.000 0.000 5.753
Zn Cd Te
2 1 1
direct
0.000 0.000 0.000 Zn
0.000 0.500 0.500 Zn
0.500 0.000 0.500 Cd
0.500 0.500 0.000 Te
```

=====

(20)
VASP calculation (PBE) on a relaxed RbHfRhSe3 crystal.

Formation energy (no corrections) in eV per atom: -1.019
Size of the total moment in μB per atom: 0.000
Electronic total energy in eV/f.u.: -34.84

```
RbHfRhSe3
1.0
3.759 0.000 0.000
0.000 9.898 0.000
-1.877 0.000 8.224
Rb Hf Rh Se
2 2 2 6
direct
0.246 0.250 0.492 Rb
0.754 0.750 0.508 Rb
0.000 0.000 0.000 Hf
0.000 0.500 0.000 Hf
0.481 0.750 0.959 Rh
0.519 0.250 0.041 Rh
0.076 0.750 0.151 Se
0.384 0.554 0.768 Se
0.384 0.946 0.768 Se
0.616 0.054 0.232 Se
0.616 0.446 0.232 Se
0.924 0.250 0.849 Se
```